HoTm5Th2: relaxed, PBE.

## Properties
Calculated total energy   -5.1235 eV per atom
N(E_F)   13.70 states/eV/f.u.
Space-group type   Immm (71)

abc: 3.487 8.731 8.731
angles: 78.45 78.48 78.48
Fractional coordinates of all 8 atoms:
Ho  0.000  0.000  0.000
Tm  0.000  0.500  0.500
Tm  0.630  0.603  0.137
Tm  0.370  0.397  0.863
Tm  0.370  0.863  0.397
Tm  0.630  0.137  0.603
Th  0.742  0.758  0.758
Th  0.258  0.242  0.242

Ho4TmTh: relaxed, PBE.

## Properties
Calculated total energy   -5.0364 eV per atom
N(E_F)   7.68 states/eV/f.u.
Space-group type   Cmc2_1 (36)

abc: 3.564 9.353 11.389
angles: 90.00 90.00 100.98
Fractional coordinates of all 12 atoms:
Ho  0.998  0.996  0.270
Ho  0.002  0.004  0.770
Ho  0.887  0.775  0.023
Ho  0.113  0.225  0.523
Ho  0.669  0.338  0.266
Ho  0.331  0.662  0.766
Ho  0.444  0.888  0.517
Ho  0.556  0.112  0.017
Tm  0.778  0.557  0.516
Tm  0.222  0.443  0.016
Th  0.667  0.333  0.769
Th  0.333  0.667  0.269

Ho4Tm3Th5: relaxed, PBE.

## Properties
Calculated total energy   -5.4389 eV per atom
N(E_F)   18.17 states/eV/f.u.
Space-group type   C2/m (12)

abc: 5.880 8.517 14.844
angles: 133.54 78.58 69.81
Fractional coordinates of all 12 atoms:
Ho  0.517  0.904  0.063
Ho  0.932  0.242  0.893
Ho  0.068  0.758  0.107
Ho  0.483  0.096  0.937
Tm  0.432  0.860  0.276
Tm  0.000  0.500  0.500
Tm  0.568  0.140  0.724
Th  0.265  0.662  0.809
Th  0.500  0.500  0.500
Th  0.092  0.195  0.621
Th  0.908  0.805  0.379
Th  0.735  0.338  0.191

Ho3Tm4Th2: relaxed, PBE.

## Properties
Calculated total energy   -5.0423 eV per atom
N(E_F)   13.03 states/eV/f.u.
Space-group type   C2/c (15)

abc: 6.052 9.906 9.906
angles: 71.46 83.80 83.80
Fractional coordinates of all 18 atoms:
Ho  0.089  0.940  0.727
Ho  0.411  0.273  0.060
Ho  0.911  0.060  0.273
Ho  0.589  0.727  0.940
Ho  0.250  0.390  0.610
Ho  0.750  0.610  0.390
Tm  0.520  0.086  0.815
Tm  0.980  0.185  0.914
Tm  0.480  0.914  0.185
Tm  0.020  0.815  0.086
Tm  0.653  0.855  0.583
Tm  0.847  0.417  0.145
Tm  0.347  0.145  0.417
Tm  0.153  0.583  0.855
Th  0.188  0.751  0.477
Th  0.312  0.523  0.249
Th  0.812  0.249  0.523
Th  0.688  0.477  0.751

Ho5Tm12Th: relaxed, PBE.

## Properties
Calculated total energy   -4.5930 eV per atom
N(E_F)   32.28 states/eV/f.u.
Space-group type   C2/m (12)

abc: 9.570 9.586 11.771
angles: 66.09 35.71 60.06
Fractional coordinates of all 18 atoms:
Ho  0.500  0.000  0.500
Ho  0.167  0.666  0.500
Ho  0.833  0.334  0.500
Ho  0.667  0.667  0.000
Ho  0.333  0.333  0.000
Tm  0.082  0.000  0.251
Tm  0.918  0.000  0.749
Tm  0.584  0.000  0.749
Tm  0.416  0.000  0.251
Tm  0.250  0.667  0.749
Tm  0.083  0.667  0.251
Tm  0.917  0.333  0.749
Tm  0.750  0.333  0.251
Tm  0.251  0.333  0.749
Tm  0.583  0.667  0.749
Tm  0.417  0.333  0.251
Tm  0.749  0.667  0.251
Th  0.000  0.000  0.000

HoTm2Th: relaxed, PBE.

## Properties
Calculated total energy   -5.2047 eV per atom
N(E_F)   6.10 states/eV/f.u.
Space-group type   P-1 (2)

abc: 3.527 6.696 11.510
angles: 95.14 107.86 74.62
Fractional coordinates of all 8 atoms:
Ho  0.609  0.313  0.785
Ho  0.903  0.791  0.818
Tm  0.031  0.012  0.556
Tm  0.482  0.093  0.046
Tm  0.755  0.558  0.054
Tm  0.758  0.547  0.549
Th  0.147  0.309  0.319
Th  0.366  0.796  0.283

HoTmTh2: relaxed, PBE.

## Properties
Calculated total energy   -5.9332 eV per atom
N(E_F)   6.32 states/eV/f.u.
Space-group type   R3m (160)

abc: 3.546 3.546 11.721
angles: 81.30 81.30 60.00
Fractional coordinates of all 4 atoms:
Ho  0.668  0.668  0.995
Tm  0.498  0.498  0.505
Th  0.084  0.084  0.748
Th  0.249  0.249  0.252

Ho4TmTh3: relaxed, PBE.

## Properties
Calculated total energy   -5.5875 eV per atom
N(E_F)   12.47 states/eV/f.u.
Space-group type   Pmn2_1 (31)

abc: 6.207 7.136 11.500
angles: 90.00 90.00 90.00
Fractional coordinates of all 16 atoms:
Ho  0.145  0.867  0.000
Ho  0.643  0.127  0.000
Ho  0.986  0.128  0.249
Ho  0.486  0.872  0.251
Ho  0.143  0.873  0.500
Ho  0.645  0.133  0.500
Ho  0.486  0.872  0.749
Ho  0.986  0.128  0.751
Tm  0.153  0.375  0.000
Tm  0.653  0.625  0.500
Th  0.651  0.624  0.000
Th  0.976  0.615  0.250
Th  0.476  0.385  0.250
Th  0.151  0.376  0.500
Th  0.476  0.385  0.750
Th  0.976  0.615  0.750

Ho6Tm3Th: relaxed, PBE.

## Properties
Calculated total energy   -4.5360 eV per atom
N(E_F)   18.28 states/eV/f.u.
Space-group type   R32 (155)

abc: 9.704 9.704 6.843
angles: 44.84 44.84 60.00
Fractional coordinates of all 10 atoms:
Ho  0.900  0.565  0.300
Ho  0.235  0.900  0.300
Ho  0.565  0.235  0.300
Ho  0.063  0.400  0.800
Ho  0.737  0.063  0.800
Ho  0.400  0.737  0.800
Tm  0.400  0.400  0.801
Tm  0.642  0.642  0.074
Tm  0.158  0.158  0.527
Th  0.900  0.900  0.300

Ho5Tm2Th4: relaxed, PBE.

## Properties
Calculated total energy   -5.5705 eV per atom
N(E_F)   15.61 states/eV/f.u.
Space-group type   P-1 (2)

abc: 3.561 9.318 11.791
angles: 106.84 81.30 112.46
Fractional coordinates of all 11 atoms:
Ho  0.958  0.094  0.273
Ho  0.042  0.906  0.727
Ho  0.586  0.813  0.454
Ho  0.500  0.000  0.000
Ho  0.414  0.187  0.546
Tm  0.870  0.280  0.820
Tm  0.130  0.720  0.180
Th  0.770  0.452  0.364
Th  0.318  0.364  0.092
Th  0.230  0.548  0.636
Th  0.682  0.636  0.908

HoTmTh2: relaxed, PBE.

## Properties
Calculated total energy   -5.9346 eV per atom
N(E_F)   5.87 states/eV/f.u.
Space-group type   P4/mmm (123)

abc: 5.011 5.016 5.016
angles: 90.00 90.00 90.00
Fractional coordinates of all 4 atoms:
Tm  0.500  0.000  0.000
Ho  0.500  0.500  0.500
Th  0.000  0.000  0.500
Th  0.000  0.500  0.000

Ho4Tm4Th3: relaxed, PBE.

## Properties
Calculated total energy   -5.1466 eV per atom
N(E_F)   15.59 states/eV/f.u.
Space-group type   Amm2 (38)

abc: 5.590 6.565 10.529
angles: 90.00 90.00 115.20
Fractional coordinates of all 11 atoms:
Ho  0.747  0.494  0.784
Ho  0.747  0.494  0.216
Ho  0.891  0.781  0.500
Ho  0.953  0.906  0.000
Tm  0.612  0.224  0.500
Tm  0.560  0.120  0.000
Tm  0.108  0.216  0.705
Tm  0.108  0.216  0.295
Th  0.407  0.814  0.286
Th  0.407  0.814  0.714
Th  0.259  0.519  0.000